VASP calculation (PBE-GGA) on an optimized crystal structure of CsOsC3Cl3O3.

```
data_CsOsC3Cl3O3
_cell_length_a 9.631
_cell_length_b 10.375
_cell_length_c 11.510
_cell_angle_alpha 91.97
_cell_angle_beta 90.00
_cell_angle_gamma 90.00
_symmetry_space_group_name_H-M 'P 1'
_symmetry_Int_Tables_number 1
_symmetry_space_group_name_Hall 'P 1'
loop_
_atom_site_label
_atom_site_fract_x
_atom_site_fract_y
_atom_site_fract_z
_atom_site_occupancy
Cs1 0.742 0.122 0.046 1
Cs2 0.258 0.878 0.954 1
Cs3 0.242 0.878 0.454 1
Cs4 0.758 0.122 0.546 1
C1 0.306 0.264 0.281 1
C2 0.107 0.354 0.134 1
C3 0.877 0.551 0.642 1
C4 0.194 0.264 0.781 1
C5 0.623 0.551 0.142 1
C6 0.123 0.449 0.358 1
C7 0.694 0.736 0.719 1
C8 0.806 0.736 0.219 1
C9 0.607 0.646 0.366 1
C10 0.377 0.449 0.858 1
C11 0.893 0.646 0.866 1
C12 0.393 0.354 0.634 1
O1 0.129 0.550 0.404 1
O2 0.397 0.398 0.543 1
O3 0.574 0.747 0.718 1
O4 0.629 0.450 0.096 1
O5 0.926 0.747 0.218 1
O6 0.603 0.602 0.457 1
O7 0.897 0.602 0.957 1
O8 0.371 0.550 0.904 1
O9 0.871 0.450 0.596 1
O10 0.074 0.253 0.782 1
O11 0.426 0.253 0.282 1
O12 0.103 0.398 0.043 1
Os1 0.390 0.284 0.783 1
Os2 0.610 0.716 0.217 1
Os3 0.890 0.716 0.717 1
Os4 0.110 0.284 0.283 1
Cl1 0.856 0.302 0.294 1
Cl2 0.921 0.934 0.803 1
Cl3 0.395 0.187 0.975 1
Cl4 0.421 0.066 0.697 1
Cl5 0.356 0.698 0.206 1
Cl6 0.144 0.698 0.706 1
Cl7 0.895 0.813 0.525 1
Cl8 0.605 0.813 0.025 1
Cl9 0.105 0.187 0.475 1
Cl10 0.079 0.066 0.197 1
Cl11 0.644 0.302 0.794 1
Cl12 0.579 0.934 0.303 1
```

Calculated values
DOS(E_F)	0.0	states/eV/f.u.
total moment	0.000	μB/atom
formation energy (no corrections)	-1.024	eV per atom
space group	P2_1/c, No. 14

---

VASP calculation (PBE-GGA) on an optimized crystal structure of CsPCCl2.

```
data_CsPCCl2
_cell_length_a 6.026
_cell_length_b 6.026
_cell_length_c 3.529
_cell_angle_alpha 90.00
_cell_angle_beta 90.00
_cell_angle_gamma 90.00
_symmetry_space_group_name_H-M 'P 1'
_symmetry_Int_Tables_number 1
_symmetry_space_group_name_Hall 'P 1'
loop_
_atom_site_label
_atom_site_fract_x
_atom_site_fract_y
_atom_site_fract_z
_atom_site_occupancy
P1 0.000 0.000 0.500 1
Cl1 0.000 0.500 0.000 1
Cl2 0.500 0.000 0.000 1
Cs1 0.500 0.500 0.500 1
C1 0.000 0.000 0.000 1
```

Calculated values
DOS(E_F)	3.6	states/eV/f.u.
total moment	0.151	μB/atom
relative energy among the computed polymorphs	0.000	eV per formula unit
formation energy (no corrections)	0.248	eV per atom
space group	P4/mmm, No. 123

---

VASP calculation (PBE-GGA) on an optimized crystal structure of CsPCCl2.

```
data_CsPCCl2
_cell_length_a 6.619
_cell_length_b 6.619
_cell_length_c 7.927
_cell_angle_alpha 90.00
_cell_angle_beta 90.00
_cell_angle_gamma 90.00
_symmetry_space_group_name_H-M 'P 1'
_symmetry_Int_Tables_number 1
_symmetry_space_group_name_Hall 'P 1'
loop_
_atom_site_label
_atom_site_fract_x
_atom_site_fract_y
_atom_site_fract_z
_atom_site_occupancy
C1 0.500 0.500 0.500 1
Cl1 0.000 0.500 0.000 1
Cl2 0.500 0.000 0.000 1
P1 0.000 0.000 0.500 1
Cs1 0.000 0.000 0.000 1
```

Calculated values
DOS(E_F)	18.7	states/eV/f.u.
total moment	1.146	μB/atom
relative energy among the computed polymorphs	7.546	eV per formula unit
formation energy (no corrections)	1.757	eV per atom
space group	P4/mmm, No. 123

---

VASP calculation (PBE-GGA) on an optimized crystal structure of CsPdCCl2.

```
data_CsPdCCl2
_cell_length_a 5.596
_cell_length_b 3.879
_cell_length_c 5.596
_cell_angle_alpha 90.00
_cell_angle_beta 90.00
_cell_angle_gamma 90.00
_symmetry_space_group_name_H-M 'P 1'
_symmetry_Int_Tables_number 1
_symmetry_space_group_name_Hall 'P 1'
loop_
_atom_site_label
_atom_site_fract_x
_atom_site_fract_y
_atom_site_fract_z
_atom_site_occupancy
Pd1 0.000 0.000 0.000 1
Cs1 0.500 0.500 0.500 1
Cl1 0.000 0.000 0.500 1
Cl2 0.500 0.000 0.000 1
C1 0.000 0.500 0.000 1
```

Calculated values
DOS(E_F)	2.7	states/eV/f.u.
total moment	0.002	μB/atom
formation energy (no corrections)	-0.043	eV per atom
space group	P4/mmm, No. 123

---

VASP calculation (PBE-GGA) on an optimized crystal structure of CsRb2CCl6.

```
data_CsRb2CCl6
_cell_length_a 7.668
_cell_length_b 7.668
_cell_length_c 7.667
_cell_angle_alpha 59.99
_cell_angle_beta 59.99
_cell_angle_gamma 90.00
_symmetry_space_group_name_H-M 'P 1'
_symmetry_Int_Tables_number 1
_symmetry_space_group_name_Hall 'P 1'
loop_
_atom_site_label
_atom_site_fract_x
_atom_site_fract_y
_atom_site_fract_z
_atom_site_occupancy
Cl1 0.294 0.294 0.000 1
Cl2 0.706 0.294 0.000 1
Cl3 0.706 0.706 0.589 1
Cl4 0.294 0.294 0.411 1
Cl5 0.706 0.706 0.000 1
Cl6 0.294 0.706 0.000 1
Rb1 0.250 0.750 0.500 1
Rb2 0.750 0.250 0.500 1
Cs1 0.000 0.000 0.000 1
C1 0.500 0.500 0.000 1
```

Calculated values
DOS(E_F)	1.2	states/eV/f.u.
total moment	0.099	μB/atom
formation energy (no corrections)	-0.678	eV per atom
space group	Fm-3m, No. 225

---

VASP calculation (PBE-GGA) on an optimized crystal structure of Cs2ReCCl6.

```
data_Cs2ReCCl6
_cell_length_a 7.248
_cell_length_b 7.248
_cell_length_c 7.641
_cell_angle_alpha 61.69
_cell_angle_beta 61.69
_cell_angle_gamma 90.00
_symmetry_space_group_name_H-M 'P 1'
_symmetry_Int_Tables_number 1
_symmetry_space_group_name_Hall 'P 1'
loop_
_atom_site_label
_atom_site_fract_x
_atom_site_fract_y
_atom_site_fract_z
_atom_site_occupancy
Cs1 0.250 0.750 0.500 1
Cs2 0.750 0.250 0.500 1
Re1 0.000 0.000 0.000 1
Cl1 0.210 0.210 0.580 1
Cl2 0.235 0.235 0.000 1
Cl3 0.790 0.790 0.420 1
Cl4 0.235 0.765 0.000 1
Cl5 0.765 0.765 0.000 1
Cl6 0.765 0.235 0.000 1
C1 0.500 0.500 0.000 1
```

Calculated values
DOS(E_F)	2.0	states/eV/f.u.
total moment	0.500	μB/atom
formation energy (no corrections)	-0.445	eV per atom
space group	I4/mmm, No. 139

---

VASP calculation (PBE-GGA) on an optimized crystal structure of Cs2RuCCl6.

```
data_Cs2RuCCl6
_cell_length_a 6.865
_cell_length_b 6.865
_cell_length_c 7.568
_cell_angle_alpha 63.03
_cell_angle_beta 63.03
_cell_angle_gamma 90.00
_symmetry_space_group_name_H-M 'P 1'
_symmetry_Int_Tables_number 1
_symmetry_space_group_name_Hall 'P 1'
loop_
_atom_site_label
_atom_site_fract_x
_atom_site_fract_y
_atom_site_fract_z
_atom_site_occupancy
Cl1 0.797 0.797 0.407 1
Cl2 0.748 0.252 0.000 1
Cl3 0.252 0.252 0.000 1
Cl4 0.748 0.748 0.000 1
Cl5 0.252 0.748 0.000 1
Cl6 0.203 0.203 0.593 1
C1 0.500 0.500 0.000 1
Cs1 0.750 0.250 0.500 1
Cs2 0.250 0.750 0.500 1
Ru1 0.000 0.000 0.000 1
```

Calculated values
DOS(E_F)	11.9	states/eV/f.u.
total moment	0.279	μB/atom
formation energy (no corrections)	-0.434	eV per atom
space group	I4/mmm, No. 139

---

VASP calculation (PBE-GGA) on an optimized crystal structure of Cs2ScCCl6.

```
data_Cs2ScCCl6
_cell_length_a 6.975
_cell_length_b 6.975
_cell_length_c 7.763
_cell_angle_alpha 63.30
_cell_angle_beta 63.30
_cell_angle_gamma 90.00
_symmetry_space_group_name_H-M 'P 1'
_symmetry_Int_Tables_number 1
_symmetry_space_group_name_Hall 'P 1'
loop_
_atom_site_label
_atom_site_fract_x
_atom_site_fract_y
_atom_site_fract_z
_atom_site_occupancy
C1 0.500 0.500 0.000 1
Cs1 0.750 0.250 0.500 1
Cs2 0.250 0.750 0.500 1
Cl1 0.742 0.742 0.000 1
Cl2 0.742 0.258 0.000 1
Cl3 0.258 0.742 0.000 1
Cl4 0.206 0.206 0.588 1
Cl5 0.794 0.794 0.412 1
Cl6 0.258 0.258 0.000 1
Sc1 0.000 0.000 0.000 1
```

Calculated values
DOS(E_F)	0.0	states/eV/f.u.
total moment	0.100	μB/atom
formation energy (no corrections)	-1.122	eV per atom
space group	I4/mmm, No. 139

---

Record order is preserved below.
Mass density: 3.0, 3.2, 1.2, 4.4, 2.8, 3.8, 3.6, 3.0 g cm⁻³